Density functional theory data (GGA-PBEsol) for crystalline Mg6SiSn2 at its relaxed geometry.

a = 4.6739 Å, b = 6.6157 Å, c = 13.9864 Å
α = 90.00°, β = 90.00°, γ = 90.00°
With the nearest neighbours (Å) after each atom.
Space group Immm (No. 71)
Symmetry-distinct sites (fractional):
Mg (0.0000, 0.2365, 0.0000) [4 per cell]  2 Si 2.81, 2 Sn 2.91, 1 Mg 3.13
Mg (0.0000, 0.2573, 0.3401) [8 per cell]  1 Si 2.75, 3 Sn 2.89-2.91
Si (0.0000, 0.5000, 0.5000) [2 per cell]  8 Mg 2.75-2.81
Sn (0.0000, 0.5000, 0.1662) [4 per cell]  8 Mg 2.89-2.91

Output
V, Å³ per cell: 432
Electronic total energy, eV/f.u.: -26.21
D(E_F), states/eV/atom: 0.058